[1]
NdTiO4 (PBE, relaxed); raw formation energy = -2.62 eV/atom
1.0
3.578 -4.927 0.000
3.578 4.927 0.000
-2.916 0.000 4.327
Nd Ti O
2 2 8
direct
0.141 0.859 0.750
0.859 0.141 0.250
0.477 0.523 0.250
0.523 0.477 0.750
0.184 0.283 0.773
0.248 0.560 0.435
0.283 0.184 0.273
0.440 0.752 0.065
0.560 0.248 0.935
0.717 0.816 0.727
0.752 0.440 0.565
0.816 0.717 0.227

[2]
NdTiO3 (PBE, relaxed); raw formation energy = -2.93 eV/atom
1.0
1.626 -5.900 0.000
1.626 5.900 0.000
0.000 0.000 7.301
Nd Ti O
2 2 6
direct
0.214 0.786 0.750
0.786 0.214 0.250
0.047 0.953 0.250
0.953 0.047 0.750
0.155 0.845 0.071
0.155 0.845 0.429
0.448 0.552 0.250
0.552 0.448 0.750
0.845 0.155 0.571
0.845 0.155 0.929

[3]
NdTi3O6 (PBE, relaxed); raw formation energy = -2.93 eV/atom
1.0
8.575 0.000 0.000
0.000 3.090 0.000
-3.064 0.000 8.281
Nd Ti O
2 6 12
direct
0.071 0.250 0.207
0.929 0.750 0.793
0.176 0.250 0.599
0.326 0.750 0.992
0.467 0.250 0.346
0.533 0.750 0.654
0.674 0.250 0.008
0.824 0.750 0.401
0.076 0.750 0.425
0.141 0.250 0.966
0.199 0.750 0.749
0.304 0.750 0.236
0.371 0.250 0.531
0.480 0.250 0.111
0.520 0.750 0.889
0.629 0.750 0.469
0.696 0.250 0.764
0.801 0.250 0.251
0.859 0.750 0.034
0.924 0.250 0.575

[4]
Nd3TiO7 (PBE, relaxed); raw formation energy = -3.09 eV/atom
1.0
3.879 -5.427 0.000
3.879 5.427 0.000
0.000 0.000 7.637
Nd Ti O
6 2 14
direct
0.033 0.033 0.000
0.040 0.496 0.259
0.496 0.040 0.741
0.504 0.960 0.241
0.960 0.504 0.759
0.967 0.967 0.500
0.485 0.485 0.500
0.515 0.515 0.000
0.130 0.870 0.750
0.136 0.864 0.250
0.178 0.418 0.980
0.197 0.443 0.540
0.418 0.178 0.020
0.438 0.562 0.250
0.443 0.197 0.460
0.557 0.803 0.960
0.562 0.438 0.750
0.582 0.822 0.520
0.803 0.557 0.040
0.822 0.582 0.480
0.864 0.136 0.750
0.870 0.130 0.250

[5]
Nd2Ti2O7 (PBE, relaxed); raw formation energy = -3.29 eV/atom
1.0
7.702 0.000 0.000
0.000 5.524 0.000
-1.950 0.000 13.141
Nd Ti O
8 8 28
direct
0.145 0.000 0.069
0.231 0.398 0.415
0.282 0.885 0.624
0.351 0.427 0.882
0.649 0.927 0.118
0.718 0.385 0.376
0.769 0.898 0.585
0.855 0.500 0.931
0.032 0.403 0.621
0.070 0.929 0.820
0.414 0.438 0.174
0.471 0.901 0.376
0.529 0.401 0.624
0.586 0.938 0.826
0.930 0.429 0.180
0.968 0.903 0.379
0.020 0.080 0.682
0.047 0.658 0.522
0.077 0.197 0.905
0.119 0.594 0.729
0.131 0.712 0.928
0.174 0.333 0.192
0.222 0.957 0.389
0.273 0.305 0.593
0.328 0.997 0.806
0.372 0.723 0.113
0.410 0.230 0.058
0.430 0.577 0.320
0.465 0.657 0.524
0.495 0.590 0.732
0.505 0.090 0.268
0.535 0.157 0.476
0.570 0.077 0.680
0.590 0.730 0.942
0.628 0.223 0.887
0.672 0.497 0.194
0.727 0.805 0.407
0.778 0.457 0.611
0.826 0.833 0.808
0.869 0.212 0.072
0.881 0.094 0.271
0.923 0.697 0.095
0.953 0.158 0.478
0.980 0.580 0.318

[6]
NdTiO (PBE, relaxed); raw formation energy = -1.28 eV/atom
1.0
11.373 0.000 0.000
0.000 1.635 2.830
0.000 -1.635 2.830
Nd Ti O
2 2 2
direct
0.147 0.000 0.000
0.853 0.000 0.000
0.395 0.665 0.665
0.605 0.665 0.665
0.000 0.667 0.667
0.500 0.999 0.999

[7]
Nd2Ti3O8 (PBE, relaxed); raw formation energy = -2.98 eV/atom
1.0
3.899 0.000 0.000
0.000 3.899 0.000
0.000 0.000 11.006
Nd Ti O
2 3 8
direct
0.000 0.000 0.197
0.000 0.000 0.803
0.500 0.500 0.000
0.500 0.500 0.363
0.500 0.500 0.637
0.000 0.500 0.000
0.000 0.500 0.342
0.000 0.500 0.658
0.500 0.000 0.000
0.500 0.000 0.342
0.500 0.000 0.658
0.500 0.500 0.176
0.500 0.500 0.824

[8]
Nd3TiO (PBE, relaxed); raw formation energy = -0.96 eV/atom
1.0
4.963 0.000 0.000
0.000 4.963 0.000
0.000 0.000 4.963
Nd Ti O
3 1 1
direct
0.000 0.000 0.500
0.000 0.500 0.000
0.500 0.000 0.000
0.500 0.500 0.500
0.000 0.000 0.000

[9]
NdTiTlO4 (PBE, relaxed); raw formation energy = -2.63 eV/atom
1.0
6.243 0.000 0.000
0.000 6.120 0.000
-1.961 0.000 7.354
Nd Ti Tl O
2 2 2 8
direct
0.194 0.250 0.062
0.806 0.750 0.938
0.282 0.750 0.848
0.718 0.250 0.152
0.317 0.250 0.601
0.683 0.750 0.399
0.082 0.523 0.841
0.082 0.977 0.841
0.473 0.750 0.702
0.478 0.750 0.067
0.522 0.250 0.933
0.527 0.250 0.298
0.918 0.023 0.159
0.918 0.477 0.159

[10]
NdTi2Tl2O7 (PBE, relaxed); raw formation energy = -2.37 eV/atom
1.0
2.758 -2.731 0.000
2.758 2.731 0.000
-1.734 0.000 11.013
Nd Ti Tl O
1 2 2 7
direct
0.000 0.000 0.000
0.429 0.429 0.816
0.571 0.571 0.184
0.174 0.174 0.389
0.826 0.826 0.611
0.050 0.545 0.163
0.396 0.396 0.641
0.455 0.950 0.837
0.500 0.500 0.000
0.545 0.050 0.163
0.604 0.604 0.359
0.950 0.455 0.837

no.,spin magnetization (μB/f.u.)
1,1.02
2,0.00
3,0.70
4,1.09
5,0.00
6,0.00
7,1.91
8,1.11
9,0.00
10,0.00